No. 1
# PBE-GGA Dy2HoErN4, optimized geometry
data_Dy2HoErN4
_symmetry_space_group_name_H-M 'P 1 2/m 1'
_symmetry_Int_Tables_number 10
_cell_length_a 5.985
_cell_length_b 3.457
_cell_length_c 5.985
_cell_angle_alpha 90.00
_cell_angle_beta 109.45
_cell_angle_gamma 90.00
loop_
_symmetry_equiv_pos_as_xyz
'x,y,z'
'-x,-y,-z'
'-x,y,-z'
'x,-y,z'
loop_
_atom_site_label
_atom_site_type_symbol
_atom_site_fract_x
_atom_site_fract_y
_atom_site_fract_z
_atom_site_occupancy
Dy1 Dy 0.000 0.000 0.000 1
Dy2 Dy 0.000 0.500 0.500 1
Ho1 Ho 0.500 0.000 0.500 1
Er1 Er 0.500 0.500 0.000 1
N1 N 0.252 0.000 0.751 1
N2 N 0.252 0.500 0.250 1
# formation energy from raw total energies	-1734.6	meV per atom

No. 2
# PBE-GGA Nd4Dy2HoEr2, optimized geometry
data_Nd4Dy2HoEr2
_symmetry_space_group_name_H-M 'C 1 2/m 1'
_symmetry_Int_Tables_number 12
_cell_length_a 17.353
_cell_length_b 3.607
_cell_length_c 9.680
_cell_angle_alpha 90.00
_cell_angle_beta 100.73
_cell_angle_gamma 90.00
loop_
_symmetry_equiv_pos_as_xyz
'x,y,z'
'-x,-y,-z'
'-x,y,-z'
'x,-y,z'
'x+1/2,y+1/2,z'
'-x+1/2,-y+1/2,-z'
'-x+1/2,y+1/2,-z'
'x+1/2,-y+1/2,z'
loop_
_atom_site_label
_atom_site_type_symbol
_atom_site_fract_x
_atom_site_fract_y
_atom_site_fract_z
_atom_site_occupancy
Nd1 Nd 0.014 0.000 0.324 1
Nd2 Nd 0.178 0.500 0.244 1
Dy1 Dy 0.154 0.500 0.595 1
Ho1 Ho 0.000 0.500 0.000 1
Er1 Er 0.165 0.000 0.922 1
# energy of formation	0.04	eV per atom

No. 3
# PBE-GGA Nd4Dy2HoEr, optimized geometry
data_Nd4Dy2HoEr
_symmetry_space_group_name_H-M 'P m m m'
_symmetry_Int_Tables_number 47
_cell_length_a 5.114
_cell_length_b 5.141
_cell_length_c 10.060
_cell_angle_alpha 90.00
_cell_angle_beta 90.00
_cell_angle_gamma 90.00
loop_
_symmetry_equiv_pos_as_xyz
'x,y,z'
'-x,-y,-z'
'-x,-y,z'
'x,y,-z'
'x,-y,-z'
'-x,y,z'
'-x,y,-z'
'x,-y,z'
loop_
_atom_site_label
_atom_site_type_symbol
_atom_site_fract_x
_atom_site_fract_y
_atom_site_fract_z
_atom_site_occupancy
Nd1 Nd 0.000 0.000 0.250 1
Nd2 Nd 0.500 0.500 0.250 1
Dy1 Dy 0.000 0.500 0.000 1
Dy2 Dy 0.500 0.000 0.500 1
Ho1 Ho 0.000 0.500 0.500 1
Er1 Er 0.500 0.000 0.000 1
# energy of formation	0.02	eV per atom

What are the volume values for these records? In order: 117 595 265 Å³/cell.